A crystal of BaSn2Bi2 relaxed with PBEsol. Source: the Alexandria database, functional meta-GGA SCAN.

a = 4.6678 Å, b = 4.6678 Å, c = 8.5039 Å
α = 105.93°, β = 105.93°, γ = 90.00°
Fractional coordinates of all 5 atoms:
Bi 0.6000 0.6000 0.2000
Bi 0.4000 0.4000 0.8000
Sn 0.7500 0.2500 0.5000
Sn 0.2500 0.7500 0.5000
Ba 0.0000 0.0000 0.0000

Values from the calculation:
**Raw total energy**: -54.002 eV/atom
**DFT formation energy**: -0.29 eV per atom
**Space-group type**: I4/mmm



A crystal of BaSrBi2 relaxed with PBEsol. Source: the Alexandria database, functional meta-GGA SCAN.

a = 5.9024 Å, b = 5.9024 Å, c = 5.9024 Å
α = 60.00°, β = 60.00°, γ = 60.00°
Fractional coordinates of all 4 atoms:
Bi 0.2500 0.2500 0.2500
Bi 0.7500 0.7500 0.7500
Ba 0.5000 0.5000 0.5000
Sr 0.0000 0.0000 0.0000

Values from the calculation:
**Raw total energy**: -55.586 eV/atom
**DFT formation energy**: -0.84 eV per atom
**Space-group type**: Fm-3m



A crystal of BaSr2Bi2 relaxed with PBEsol. Source: the Alexandria database, functional meta-GGA SCAN.

a = 4.2950 Å, b = 9.4794 Å, c = 9.4794 Å
α = 90.00°, β = 90.00°, γ = 90.00°
Fractional coordinates of all 10 atoms:
Bi 0.0000 0.1629 0.3371
Bi 0.0000 0.6629 0.1629
Bi 0.0000 0.3371 0.8371
Bi 0.0000 0.8371 0.6629
Ba 0.0000 0.0000 0.0000
Ba 0.0000 0.5000 0.5000
Sr 0.5000 0.1370 0.6370
Sr 0.5000 0.8630 0.3630
Sr 0.5000 0.6370 0.8630
Sr 0.5000 0.3630 0.1370

Values from the calculation:
**Raw total energy**: -49.148 eV/atom
**DFT formation energy**: -0.90 eV per atom
**Energy above the lowest structure with this stoichiometry**: 0.00 eV/f.u.
**Space-group type**: P4/mbm



A crystal of BaSr2Bi2 relaxed with PBEsol. Source: the Alexandria database, functional meta-GGA SCAN.

a = 6.2248 Å, b = 7.1392 Å, c = 6.2248 Å
α = 64.15°, β = 90.00°, γ = 115.85°
Fractional coordinates of all 5 atoms:
Ba 0.0000 0.0000 0.0000
Sr 0.6699 0.3399 0.3301
Sr 0.3301 0.6601 0.6699
Bi 0.2500 0.5000 0.2500
Bi 0.7500 0.5000 0.7500

Values from the calculation:
**Raw total energy**: -48.879 eV/atom
**DFT formation energy**: -0.63 eV per atom
**Energy above the lowest structure with this stoichiometry**: 1.35 eV/f.u.
**Space-group type**: I4/mmm